No. 1
This record from the Alexandria database describes an optimized crystal structure of YZr2P. The functional is GGA-PBE.

Output
calculated density	5491	kg/m³
E	-7.8162	eV/atom
E_form	-0.57	eV per atom

Cell: 10.6368 3.4839 5.8775 Å, 90.00 122.91 90.00°
Closest atoms and distances in Å follow each position.
Space group Cm (No. 8)
Symmetry-distinct sites (fractional):
Y (0.0000, 0.0000, 0.0000) x2  3 P 2.92-2.98, 1 Zr 3.13
Zr (0.1856, 0.0000, 0.6350) x2  2 P 2.59
Zr (0.3826, 0.0000, 0.3879) x2  2 P 2.68
P (0.2165, 0.5000, 0.9877) x2  4 Zr 2.59-2.68



No. 2
This record from the Alexandria database describes an optimized crystal structure of HfAlTc2. The functional is GGA-PBE.

Output
calculated density	9691	kg/m³
E	-8.2304	eV/atom
E_form	0.38	eV per atom

Cell: 6.9936 6.9936 5.6257 Å, 90.00 90.00 90.00°
Closest atoms and distances in Å follow each position.
Space group I-42d (No. 122)
Symmetry-distinct sites (fractional):
Hf (0.0000, 0.0000, 0.0000) x4  4 Tc 2.70, 2 Al 2.81
Al (0.0000, 0.0000, 0.5000) x4  4 Tc 2.45
Tc (0.2242, 0.2500, 0.6250) x8  2 Al 2.45, 2 Hf 2.70



No. 3
This record from the Alexandria database describes an optimized crystal structure of AcTb6Er2Tm. The functional is GGA-PBE.

Output
calculated density	8429	kg/m³
E	-4.4199	eV/atom
E_form	0.13	eV per atom

Cell: 9.2392 15.1877 9.4908 Å, 90.00 94.86 90.00°
Closest atoms and distances in Å follow each position.
Space group C2/c (No. 15)
Symmetry-distinct sites (fractional):
Ac (0.0000, 0.0296, 0.2500) x4  4 Er 3.46-3.59, 6 Tb 3.65-3.85
Tb (0.0594, 0.1879, 0.9437) x8  7 Tb 3.44-3.77, 1 Er 3.58, 2 Ac 3.80-3.85
Tb (0.1006, 0.3885, 0.1160) x8  4 Tb 3.23-3.46, 3 Er 3.25-3.43, 2 Tm 3.43-3.54
Tb (0.2180, 0.2280, 0.3179) x8  5 Tb 3.23-3.61, 2 Er 3.41-3.51, 1 Tm 3.47
Er (0.2383, 0.4436, 0.4509) x8  6 Tb 3.25-3.58, 2 Ac 3.46-3.59, 1 Tm 3.54
Tm (0.0000, 0.4129, 0.7500) x4  6 Tb 3.43-3.54, 4 Er 3.54-3.77



No. 4
This record from the Alexandria database describes an optimized crystal structure of Er5B2O6F9. The functional is GGA-PBE.

Output
calculated density	7397	kg/m³
E	-7.4383	eV/atom
raw formation energy	-3676	meV per atom

Cell: 20.5627 6.0516 8.2550 Å, 90.00 100.49 90.00°
Closest atoms and distances in Å follow each position.
Space group C2/c (No. 15)
Symmetry-distinct sites (fractional):
Er (0.0000, 0.1064, 0.2500) x4  3 F 2.28-2.45, 4 O 2.32-2.36
Er (0.1089, 0.3908, 0.9062) x8  4 F 2.22-2.34, 3 O 2.29-2.41
Er (0.1938, 0.1202, 0.3195) x8  5 F 2.19-2.41, 2 O 2.33-2.34
B (0.1111, 0.0956, 0.5620) x8  3 O 1.38-1.40
O (0.0902, 0.2392, 0.4340) x8  1 B 1.38
O (0.0932, 0.1038, 0.7162) x8  1 B 1.39
O (0.1586, 0.0606, 0.0388) x8  1 B 1.40
F (0.0000, 0.4828, 0.2500) x4  3 Er 2.28-2.49
F (0.0313, 0.1812, 0.9826) x8  2 Er 2.22-2.45, 1 B 2.35
F (0.1310, 0.4270, 0.1850) x8  3 Er 2.25-2.41
F (0.2099, 0.4246, 0.4804) x8  3 Er 2.26-2.35
F (0.2270, 0.2175, 0.7858) x8  2 Er 2.19-2.21



No. 5
This record from the Alexandria database describes an optimized crystal structure of Ho6Mg2Fe. The functional is GGA-PBE.

Output
calculated density	7442	kg/m³
E	-4.3238	eV/atom
E_form	0.02	eV per atom

Cell: 8.8440 8.8440 3.6036 Å, 90.00 90.00 120.00°
Closest atoms and distances in Å follow each position.
Space group P-62m (No. 189)
Symmetry-distinct sites (fractional):
Ho (0.0000, 0.2352, 0.0000) x3  2 Fe 2.75
Ho (0.0000, 0.6158, 0.5000) x3  4 Mg 3.29, 1 Fe 3.40, 6 Ho 3.47-3.60
Mg (0.3333, 0.6667, 0.0000) x2  9 Ho 3.29-3.46, 2 Mg 3.60
Fe (0.0000, 0.0000, 0.5000) x1  6 Ho 2.75



No. 6
This record from the Alexandria database describes an optimized crystal structure of Ce3Zn2Ni4. The functional is GGA-PBE.

Output
calculated density	8039	kg/m³
E	-5.1788	eV/atom
excess energy over the best structure of this formula in the dataset	5	meV per atom
E_form	-0.35	eV per atom

Cell: 10.7832 4.1898 8.0992 Å, 90.00 117.46 90.00°
Closest atoms and distances in Å follow each position.
Space group C2/m (No. 12)
Symmetry-distinct sites (fractional):
Ce (0.0000, 0.0000, 0.0000) x2  8 Ni 3.02-3.27, 4 Zn 3.27
Ce (0.1338, 0.5000, 0.6959) x4  7 Ni 2.72-2.98
Zn (0.1692, 0.5000, 0.3401) x4  4 Ni 2.52-2.62
Ni (0.0684, 0.0000, 0.4054) x4  3 Zn 2.53-2.62, 1 Ni 2.57
Ni (0.2242, 0.5000, 0.0698) x4  1 Zn 2.52, 2 Ni 2.56, 3 Ce 2.72-2.77



No. 7
This record from the Alexandria database describes an optimized crystal structure of NiAs4Os. The functional is GGA-PBE.

Output
calculated density	8710	kg/m³
E	-4.8376	eV/atom
excess energy over the best structure of this formula in the dataset	1144	meV per atom
E_form	1.10	eV per atom

Cell: 7.4791 7.4791 7.4791 Å, 90.00 90.00 90.00°
Closest atoms and distances in Å follow each position.
Space group F-43m (No. 216)
Symmetry-distinct sites (fractional):
Ni (0.0000, 0.0000, 0.0000) x4  12 As 3.10, 4 Os 3.24
As (0.1247, 0.1247, 0.3753) x16  6 As 2.64-2.65
Os (0.2500, 0.2500, 0.7500) x4  12 As 3.10, 4 Ni 3.24